Computed, not measured: a relaxed structure of GeMoO2F at the GGA+U level of DFT.

Lattice parameters (Å, degrees): 3.891 3.891 4.147 90.00 90.00 90.00
Site moments in Bohr magnetons follow the coordinates.
Sites, in units of the cell vectors:
O (0.000, 0.500, 0.000)  -0.01
O (0.500, 0.000, 0.000)  -0.01
Ge (0.000, 0.000, 0.000)  0.00
Mo (0.500, 0.500, 0.500)  4.03
F (0.000, 0.000, 0.500)  0.05

Magnetic moment: 4.53 μB/f.u.
Fermi-level density of states: 2.80 states/eV per cell
Total DFT energy (no corrections): -5.55 eV/atom